(1)
{
  "formula": "La5SmEr2",
  "functional": "GGA-PBE",
  "state": "optimized geometry",
  "lattice": [[9.363, 0.000, 0.000], [0.000, 9.363, 0.000], [-4.682, -4.682, 6.453]],
  "species": ["La", "Er", "La", "La", "La", "Er", "Sm", "La", "La", "La", "Er", "Sm", "La", "La", "La", "Er"],
  "fractional_positions": [[0.018, 0.518, 0.333], [0.647, 0.147, 0.000], [0.815, 0.018, 0.333], [0.315, 0.815, 0.333], [0.518, 0.315, 0.333], [0.853, 0.647, 0.000], [0.750, 0.750, 0.500], [0.000, 0.000, 0.000], [0.685, 0.185, 0.667], [0.500, 0.500, 0.000], [0.353, 0.853, 0.000], [0.250, 0.250, 0.500], [0.482, 0.685, 0.667], [0.185, 0.982, 0.667], [0.982, 0.482, 0.667], [0.147, 0.353, 0.000]],
  "spacegroup": "I4/mcm (140)",
  "relative_energy_mev_per_atom": 2
}

***

(2)
{
  "formula": "LaSm4Er8",
  "functional": "GGA-PBE",
  "state": "optimized geometry",
  "lattice": [[9.690, -0.001, -5.228], [-6.255, 9.061, 0.000], [-2.345, -1.618, 7.247]],
  "species": ["Sm", "Er", "Er", "Sm", "Sm", "Er", "Er", "Er", "Er", "Sm", "La", "Er", "Er"],
  "fractional_positions": [[0.500, 0.500, 0.000], [0.000, 0.239, 0.239], [0.477, 0.239, 0.716], [0.000, 0.000, 0.000], [0.500, 0.000, 0.000], [0.478, 0.239, 0.239], [0.522, 0.761, 0.761], [0.000, 0.761, 0.761], [0.000, 0.762, 0.239], [0.000, 0.500, 0.000], [0.000, 0.500, 0.500], [0.523, 0.761, 0.284], [0.000, 0.238, 0.761]],
  "spacegroup": "Pm-3m (221)"
}

***

(3)
{
  "formula": "La4SmEr7",
  "functional": "GGA-PBE",
  "state": "optimized geometry",
  "lattice": [[5.936, 0.000, 0.000], [2.968, 11.445, -0.327], [2.968, 0.203, 6.067]],
  "species": ["La", "Er", "Er", "La", "Er", "Er", "Er", "Sm", "La", "Er", "La", "Er"],
  "fractional_positions": [[0.635, 0.222, 0.508], [0.211, 0.076, 0.502], [0.789, 0.924, 0.498], [0.216, 0.339, 0.229], [0.633, 0.506, 0.227], [0.072, 0.691, 0.166], [0.367, 0.494, 0.773], [0.000, 0.000, 0.000], [0.784, 0.661, 0.771], [0.928, 0.309, 0.834], [0.365, 0.778, 0.492], [0.500, 0.000, 0.000]],
  "spacegroup": "C2/m (12)"
}

***

(4)
{
  "formula": "LaSmEr",
  "functional": "GGA-PBE",
  "state": "optimized geometry",
  "lattice": [[3.682, 0.000, 0.000], [0.000, 5.816, 0.000], [-1.841, 0.000, 9.502]],
  "species": ["Er", "Sm", "Sm", "Er", "La", "La"],
  "fractional_positions": [[0.608, 0.014, 0.216], [0.053, 0.514, 0.107], [0.947, 0.014, 0.893], [0.392, 0.514, 0.784], [0.724, 0.514, 0.448], [0.276, 0.014, 0.552]],
  "spacegroup": "Cmcm (63)",
  "relative_energy_mev_per_atom": 0
}

***

(5)
{
  "formula": "LaSmEr2",
  "functional": "GGA-PBE",
  "state": "optimized geometry",
  "lattice": [[5.567, 0.000, 0.000], [0.000, 5.761, -2.175], [0.000, -1.450, 9.833]],
  "species": ["Er", "Sm", "Er", "La", "Er", "Sm", "Er", "La"],
  "fractional_positions": [[0.500, 0.212, 0.873], [0.500, 0.387, 0.290], [0.000, 0.833, 0.597], [0.000, 0.000, 0.000], [0.000, 0.167, 0.403], [0.500, 0.613, 0.710], [0.500, 0.788, 0.127], [0.500, 0.000, 0.500]],
  "spacegroup": "P2/m (10)",
  "relative_energy_mev_per_atom": 439
}

***

(6)
{
  "formula": "La4Sm2Er5",
  "functional": "GGA-PBE",
  "state": "optimized geometry",
  "lattice": [[-1.203, 3.242, -0.742], [-3.558, -3.007, -7.375], [-6.503, -1.364, 13.017]],
  "species": ["La", "Er", "Er", "Sm", "Er", "Er", "Er", "La", "La", "Sm", "La"],
  "fractional_positions": [[0.590, 0.483, 0.181], [0.188, 0.907, 0.377], [0.500, 0.000, 0.000], [0.274, 0.375, 0.548], [0.868, 0.787, 0.736], [0.812, 0.093, 0.623], [0.132, 0.213, 0.264], [0.960, 0.260, 0.919], [0.410, 0.517, 0.819], [0.726, 0.625, 0.452], [0.040, 0.740, 0.081]],
  "spacegroup": "C2/m (12)",
  "relative_energy_mev_per_atom": 29
}

***

(7)
{
  "formula": "LaSm2Er",
  "functional": "GGA-PBE",
  "state": "optimized geometry",
  "lattice": [[5.787, 0.000, 0.000], [2.894, 5.012, 0.000], [2.894, 1.671, 4.725]],
  "species": ["Er", "La", "Sm", "Sm"],
  "fractional_positions": [[0.000, 0.000, 0.000], [0.500, 0.500, 0.500], [0.750, 0.750, 0.750], [0.250, 0.250, 0.250]],
  "spacegroup": "Fm-3m (225)",
  "relative_energy_mev_per_atom": 131
}

***

(8)
{
  "formula": "La3Sm2Er4",
  "functional": "GGA-PBE",
  "state": "optimized geometry",
  "lattice": [[5.843, 1.659, 1.188], [2.109, 11.088, 0.635], [2.109, 4.174, 10.292]],
  "species": ["Sm", "La", "La", "Er", "La", "Sm", "Er", "Er", "Er", "Er", "Er", "Er", "La", "Er", "La", "Sm", "La", "Sm"],
  "fractional_positions": [[0.436, 0.254, 0.518], [0.731, 0.698, 0.979], [0.750, 0.377, 0.623], [0.096, 0.154, 0.389], [0.231, 0.979, 0.698], [0.064, 0.482, 0.746], [0.927, 0.174, 0.939], [0.427, 0.939, 0.174], [0.904, 0.846, 0.611], [0.073, 0.826, 0.061], [0.573, 0.061, 0.826], [0.596, 0.389, 0.154], [0.269, 0.302, 0.021], [0.404, 0.611, 0.846], [0.769, 0.021, 0.302], [0.936, 0.518, 0.254], [0.250, 0.623, 0.377], [0.564, 0.746, 0.482]],
  "spacegroup": "C2/c (15)",
  "relative_energy_mev_per_atom": 36
}

***

(9)
{
  "formula": "La5Sm2Er12",
  "functional": "GGA-PBE",
  "state": "optimized geometry",
  "lattice": [[4.647, 11.441, 0.269], [-4.647, 11.441, 0.269], [0.000, 6.191, 6.115]],
  "species": ["Er", "Sm", "La", "Er", "Er", "Er", "La", "Sm", "Er", "Er", "Er", "La", "Er", "La", "Er", "Er", "Er", "La", "Er"],
  "fractional_positions": [[0.071, 0.071, 0.734], [0.675, 0.325, 0.000], [0.000, 0.000, 0.500], [0.323, 0.967, 0.952], [0.821, 0.440, 0.409], [0.677, 0.033, 0.048], [0.768, 0.768, 0.892], [0.325, 0.675, 0.000], [0.929, 0.929, 0.266], [0.446, 0.446, 0.771], [0.554, 0.554, 0.229], [0.232, 0.232, 0.108], [0.179, 0.560, 0.591], [0.289, 0.289, 0.401], [0.967, 0.323, 0.952], [0.033, 0.677, 0.048], [0.440, 0.821, 0.409], [0.711, 0.711, 0.599], [0.560, 0.179, 0.591]],
  "spacegroup": "C2/m (12)"
}

***

(10)
{
  "formula": "La4SmEr4",
  "functional": "GGA-PBE",
  "state": "optimized geometry",
  "lattice": [[4.166, 0.105, -2.129], [-0.919, 4.065, -2.129], [4.007, 5.145, 13.506]],
  "species": ["Sm", "Er", "Er", "La", "Er", "La", "La", "Er", "La"],
  "fractional_positions": [[0.942, 0.942, 0.885], [0.397, 0.884, 0.281], [0.121, 0.121, 0.704], [0.759, 0.759, 0.517], [0.884, 0.397, 0.281], [0.540, 0.040, 0.079], [0.235, 0.235, 0.471], [0.583, 0.583, 0.704], [0.040, 0.540, 0.079]],
  "spacegroup": "Fmm2 (42)",
  "relative_energy_mev_per_atom": 458
}

***

Number 1: calculated volume 566 Å³ per cell, energy of formation from the pure elements 0.131 eV/atom. Number 2: calculated volume 472 Å³ per cell, energy of formation from the pure elements 0.523 eV/atom. Number 3: calculated volume 413 Å³ per cell, energy of formation from the pure elements 0.250 eV/atom. Number 4: calculated volume 203 Å³ per cell, energy of formation from the pure elements 0.022 eV/atom. Number 5: calculated volume 298 Å³ per cell, energy of formation from the pure elements 0.456 eV/atom. Number 6: calculated volume 376 Å³ per cell, energy of formation from the pure elements 0.124 eV/atom. Number 7: calculated volume 137 Å³ per cell, energy of formation from the pure elements 0.154 eV/atom. Number 8: calculated volume 600 Å³ per cell, energy of formation from the pure elements 0.101 eV/atom. Number 9: calculated volume 635 Å³ per cell, energy of formation from the pure elements 0.121 eV/atom. Number 10: calculated volume 320 Å³ per cell, energy of formation from the pure elements 0.490 eV/atom.